PrZnCdCu | the Alexandria database | GGA-PBE | relaxed; space-group type = F-43m, No. 216; DFT formation energy = -0.2528 eV/atom
1.0
0.0000 3.4509 3.4509
3.4509 0.0000 3.4509
3.4509 3.4509 0.0000
Pr Zn Cd Cu
1 1 1 1
Direct
0.0000 0.0000 0.0000
0.7500 0.7500 0.7500
0.5000 0.5000 0.5000
0.2500 0.2500 0.2500


HfBOs2F | the Alexandria database | GGA-PBE | relaxed; space-group type = P4/mmm, No. 123; E_form (uncorrected) = 5.12 eV per formula unit
1.0
4.1677 0.0000 0.0000
0.0000 4.1677 0.0000
0.0000 0.0000 4.0730
Hf B Os F
1 1 2 1
Direct
0.0000 0.0000 0.0000
0.5000 0.5000 0.0000
0.0000 0.5000 0.5000
0.5000 0.0000 0.5000
0.5000 0.5000 0.5000


SmAgBi | the Alexandria database | GGA-PBE | relaxed; space-group type = I4mm, No. 107; DFT formation energy = -0.3057 eV/atom
1.0
-2.1186 2.1186 4.6521
2.1186 -2.1186 4.6521
2.1186 2.1186 -4.6521
Sm Ag Bi
1 1 1
Direct
0.0000 0.0000 0.0000
0.3314 0.3314 0.0000
0.6530 0.6530 0.0000


ScTaZn2 | the Alexandria database | GGA-PBE | relaxed; space-group type = I-42d, No. 122; energy relative to the lowest polymorph listed for this composition = 487 meV per atom; DFT formation energy = 0.3645 eV/atom
1.0
-3.6662 3.6662 2.7677
3.6662 -3.6662 2.7677
3.6662 3.6662 -2.7677
Sc Ta Zn
2 2 4
Direct
0.0000 0.0000 0.0000
0.7500 0.2500 0.5000
0.2500 0.7500 0.5000
0.5000 0.5000 0.0000
0.1353 0.6250 0.0103
0.3750 0.3853 0.5103
0.6147 0.1250 0.9897
0.8750 0.8647 0.4897


LiNb2RhI | the Alexandria database | GGA-PBE | relaxed; space-group type = P4/mmm, No. 123; E_form (uncorrected) = 7.15 eV per formula unit
1.0
5.0413 0.0000 0.0000
0.0000 5.0413 0.0000
0.0000 0.0000 4.4280
Li Nb Rh I
1 2 1 1
Direct
0.0000 0.0000 0.0000
0.0000 0.5000 0.5000
0.5000 0.0000 0.5000
0.5000 0.5000 0.0000
0.0000 0.0000 0.5000


Al3TcAg | the Alexandria database | GGA-PBE | relaxed; space-group type = Pm-3m, No. 221; energy relative to the lowest polymorph listed for this composition = 0 meV per atom; DFT formation energy = 0.2938 eV/atom
1.0
4.7298 0.0000 0.0000
0.0000 4.7298 0.0000
0.0000 0.0000 4.7298
Al Tc Ag
3 1 1
Direct
0.0000 0.0000 0.5000
0.0000 0.5000 0.0000
0.5000 0.0000 0.0000
0.0000 0.0000 0.0000
0.5000 0.5000 0.5000


Uncorrected energy for the records above, in order: -3.019, -7.168, -4.123, -4.819, -4.760, -4.595 eV per atom
Size of the total moment for the records above, in order: 0.00, 0.00, 0.00, 0.00, 0.00, 0.00 μB per formula unit
N(E_F) for the records above, in order: 0.608, 0.534, 0.537, 0.952, 1.964, 0.434 states/eV per atom